Compound: NaWC2
Source: the Alexandria database
Functional: PBE
Structure: optimized geometry

Values from the calculation:
- Calculated density: 5.34 g cm⁻³

Unit cell a=5.5354 b=5.5354 c=9.3794 alpha=90.00 beta=90.00 gamma=90.00
Closest atoms and distances in Å follow each position.
Space group I-42d (No. 122)
Symmetry-distinct sites (fractional):
Na (0.0000, 0.0000, 0.0000)  4 C 2.73
W (0.0000, 0.0000, 0.5000)  4 C 1.95
C (0.1304, 0.2500, 0.6250)  2 W 1.95

Compound: NaW3C
Source: the Alexandria database
Functional: PBE
Structure: optimized geometry

Values from the calculation:
- Calculated density: 10.71 g cm⁻³

Unit cell a=4.4962 b=4.4962 c=4.4962 alpha=90.00 beta=90.00 gamma=90.00
Closest atoms and distances in Å follow each position.
Space group Pm-3m (No. 221)
Symmetry-distinct sites (fractional):
Na (0.0000, 0.0000, 0.0000)  6 W 2.25
W (0.0000, 0.0000, 0.5000)  2 Na 2.25
C (0.5000, 0.5000, 0.5000)  12 W 3.18

Compound: Na2WC
Source: the Alexandria database
Functional: PBE
Structure: optimized geometry

Values from the calculation:
- Calculated density: 3.48 g cm⁻³

Unit cell a=10.7829 b=10.7829 c=3.9682 alpha=90.00 beta=90.00 gamma=90.00
Closest atoms and distances in Å follow each position.
Space group I-42d (No. 122)
Symmetry-distinct sites (fractional):
Na (0.0035, 0.7500, 0.1250)  2 C 2.74
W (0.0000, 0.0000, 0.5000)  2 C 1.98
C (0.0000, 0.0000, 0.0000)  2 W 1.98

Compound: NaWC3
Source: the Alexandria database
Functional: PBE
Structure: optimized geometry

Values from the calculation:
- Calculated density: 6.64 g cm⁻³

Unit cell a=3.9307 b=3.9307 c=3.9307 alpha=90.00 beta=90.00 gamma=90.00
Closest atoms and distances in Å follow each position.
Space group Pm-3m (No. 221)
Symmetry-distinct sites (fractional):
Na (0.0000, 0.0000, 0.0000)  6 C 1.97
W (0.5000, 0.5000, 0.5000)  12 C 2.78
C (0.0000, 0.0000, 0.5000)  2 Na 1.97

Compound: NaWC3
Source: the Alexandria database
Functional: PBE
Structure: optimized geometry

Values from the calculation:
- Calculated density: 5.62 g cm⁻³

Unit cell a=4.1563 b=4.1563 c=4.1563 alpha=90.00 beta=90.00 gamma=90.00
Closest atoms and distances in Å follow each position.
Space group Pm-3m (No. 221)
Symmetry-distinct sites (fractional):
Na (0.0000, 0.0000, 0.0000)  12 C 2.94
W (0.5000, 0.5000, 0.5000)  6 C 2.08
C (0.0000, 0.5000, 0.5000)  2 W 2.08

Compound: NaWC2
Source: the Alexandria database
Functional: PBE
Structure: optimized geometry

Values from the calculation:
- Calculated density: 9.18 g cm⁻³

Unit cell a=5.5070 b=5.5070 c=5.5070 alpha=90.00 beta=90.00 gamma=90.00
Closest atoms and distances in Å follow each position.
Space group Fm-3m (No. 225)
Symmetry-distinct sites (fractional):
Na (0.0000, 0.0000, 0.0000)  8 C 2.38
W (0.0000, 0.0000, 0.5000)  8 C 2.38
C (0.2500, 0.2500, 0.2500)  4 W 2.38, 4 Na 2.38

Compound: NaW3C
Source: the Alexandria database
Functional: PBE
Structure: optimized geometry

Values from the calculation:
- Calculated density: 12.93 g cm⁻³

Unit cell a=4.2231 b=4.2231 c=4.2231 alpha=90.00 beta=90.00 gamma=90.00
Closest atoms and distances in Å follow each position.
Space group Pm-3m (No. 221)
Symmetry-distinct sites (fractional):
Na (0.0000, 0.0000, 0.0000)  12 W 2.99
W (0.0000, 0.5000, 0.5000)  2 C 2.11
C (0.5000, 0.5000, 0.5000)  6 W 2.11

Compound: NaW2C
Source: the Alexandria database
Functional: PBE
Structure: optimized geometry

Values from the calculation:
- Calculated density: 7.55 g cm⁻³

Unit cell a=6.3155 b=6.3155 c=8.8788 alpha=90.00 beta=90.00 gamma=90.00
Closest atoms and distances in Å follow each position.
Space group I4_1/amd (No. 141, origin choice 2)
Symmetry-distinct sites (fractional):
Na (0.0000, 0.2500, 0.3750)  12 W 3.68-3.70, 4 C 3.86, 4 Na 3.86
W (0.0000, 0.0000, 0.0000)  2 C 1.93
C (0.0000, 0.2500, 0.8750)  4 W 1.93

Compound: NaYC3
Source: the Alexandria database
Functional: PBE
Structure: optimized geometry

Values from the calculation:
- Calculated density: 2.46 g cm⁻³

Unit cell a=4.6408 b=4.6408 c=4.6408 alpha=90.00 beta=90.00 gamma=90.00
Closest atoms and distances in Å follow each position.
Space group Pm-3m (No. 221)
Symmetry-distinct sites (fractional):
Na (0.0000, 0.0000, 0.0000)  12 C 3.28
Y (0.5000, 0.5000, 0.5000)  6 C 2.32
C (0.0000, 0.5000, 0.5000)  2 Y 2.32

Compound: Na2YC
Source: the Alexandria database
Functional: PBE
Structure: optimized geometry

Values from the calculation:
- Calculated density: 2.92 g cm⁻³

Unit cell a=3.7196 b=3.7196 c=24.1854 alpha=90.00 beta=90.00 gamma=90.00
Closest atoms and distances in Å follow each position.
Space group I-42d (No. 122)
Symmetry-distinct sites (fractional):
Na (0.2239, 0.7500, 0.1250)  4 Na 2.50-2.77
Y (0.0000, 0.0000, 0.5000)  4 C 2.63
C (0.0000, 0.0000, 0.0000)  4 Y 2.63

Compound: Na3YC
Source: the Alexandria database
Functional: PBE
Structure: optimized geometry

Values from the calculation:
- Calculated density: 1.11 g cm⁻³

Unit cell a=6.3327 b=6.3327 c=6.3327 alpha=90.00 beta=90.00 gamma=90.00
Closest atoms and distances in Å follow each position.
Space group Pm-3m (No. 221)
Symmetry-distinct sites (fractional):
Na (0.0000, 0.0000, 0.5000)  2 Y 3.17
Y (0.0000, 0.0000, 0.0000)  6 Na 3.17
C (0.5000, 0.5000, 0.5000)  12 Na 4.48

Compound: NaYC3
Source: the Alexandria database
Functional: PBE
Structure: optimized geometry

Values from the calculation:
- Calculated density: 3.27 g cm⁻³

Unit cell a=4.2203 b=4.2203 c=4.2203 alpha=90.00 beta=90.00 gamma=90.00
Closest atoms and distances in Å follow each position.
Space group Pm-3m (No. 221)
Symmetry-distinct sites (fractional):
Na (0.0000, 0.0000, 0.0000)  6 C 2.11
Y (0.5000, 0.5000, 0.5000)  12 C 2.98
C (0.0000, 0.0000, 0.5000)  2 Na 2.11

Compound: Na3YC
Source: the Alexandria database
Functional: PBE
Structure: optimized geometry

Values from the calculation:
- Calculated density: 2.24 g cm⁻³

Unit cell a=5.0113 b=5.0113 c=5.0113 alpha=90.00 beta=90.00 gamma=90.00
Closest atoms and distances in Å follow each position.
Space group Pm-3m (No. 221)
Symmetry-distinct sites (fractional):
Na (0.0000, 0.0000, 0.5000)  2 C 2.51
Y (0.5000, 0.5000, 0.5000)  12 Na 3.54
C (0.0000, 0.0000, 0.0000)  6 Na 2.51

Compound: NaZn3C
Source: the Alexandria database
Functional: PBE
Structure: optimized geometry

Values from the calculation:
- Calculated density: 4.72 g cm⁻³

Unit cell a=4.3328 b=4.3328 c=4.3328 alpha=90.00 beta=90.00 gamma=90.00
Closest atoms and distances in Å follow each position.
Space group Pm-3m (No. 221)
Symmetry-distinct sites (fractional):
Na (0.0000, 0.0000, 0.0000)  12 Zn 3.06
Zn (0.0000, 0.5000, 0.5000)  2 C 2.17
C (0.5000, 0.5000, 0.5000)  6 Zn 2.17

Compound: NaZn3C
Source: the Alexandria database
Functional: PBE
Structure: optimized geometry

Values from the calculation:
- Calculated density: 2.20 g cm⁻³

Unit cell a=5.5879 b=5.5879 c=5.5879 alpha=90.00 beta=90.00 gamma=90.00
Closest atoms and distances in Å follow each position.
Space group Pm-3m (No. 221)
Symmetry-distinct sites (fractional):
Na (0.0000, 0.0000, 0.0000)  6 Zn 2.79
Zn (0.0000, 0.0000, 0.5000)  2 Na 2.79
C (0.5000, 0.5000, 0.5000)  12 Zn 3.95

Compound: Na3ZnC
Source: the Alexandria database
Functional: PBE
Structure: optimized geometry

Values from the calculation:
- Calculated density: 1.99 g cm⁻³

Unit cell a=4.9641 b=4.9641 c=4.9641 alpha=90.00 beta=90.00 gamma=90.00
Closest atoms and distances in Å follow each position.
Space group Pm-3m (No. 221)
Symmetry-distinct sites (fractional):
Na (0.0000, 0.0000, 0.5000)  2 C 2.48
Zn (0.5000, 0.5000, 0.5000)  12 Na 3.51
C (0.0000, 0.0000, 0.0000)  6 Na 2.48

Compound: NaZr2C2
Source: the Alexandria database
Functional: PBE
Structure: optimized geometry

Values from the calculation:
- Calculated density: 3.38 g cm⁻³

Unit cell a=4.3831 b=4.3831 c=11.7340 alpha=90.00 beta=90.00 gamma=90.00
Closest atoms and distances in Å follow each position.
Space group I4/mmm (No. 139)
Symmetry-distinct sites (fractional):
Na (0.0000, 0.0000, 0.0000)  10 C 3.54-3.88, 8 Zr 3.66
Zr (0.0000, 0.5000, 0.2500)  4 C 2.27
C (0.0000, 0.0000, 0.3017)  4 Zr 2.27

Compound: Na4ZrC2
Source: the Alexandria database
Functional: PBE
Structure: optimized geometry

Values from the calculation:
- Calculated density: 1.42 g cm⁻³

Unit cell a=6.1328 b=6.1328 c=12.9066 alpha=90.00 beta=90.00 gamma=90.00
Closest atoms and distances in Å follow each position.
Space group I4/mmm (No. 139)
Symmetry-distinct sites (fractional):
Na (0.0000, 0.0000, 0.2324)  1 C 2.36
Na (0.0000, 0.5000, 0.0000)  2 Zr 3.07, 4 C 3.13
Zr (0.0000, 0.0000, 0.5000)  4 Na 3.07
C (0.0000, 0.0000, 0.0492)  1 C 1.27

Compound: NaZr2C2
Source: the Alexandria database
Functional: PBE
Structure: optimized geometry

Values from the calculation:
- Calculated density: 5.58 g cm⁻³

Unit cell a=6.5705 b=6.5705 c=3.1618 alpha=90.00 beta=90.00 gamma=90.00
Closest atoms and distances in Å follow each position.
Space group P4/mbm (No. 127)
Symmetry-distinct sites (fractional):
Na (0.0000, 0.0000, 0.0000)  4 C 2.48
Zr (0.1565, 0.3435, 0.5000)  6 C 2.34-2.60
C (0.1575, 0.6575, 0.0000)  6 Zr 2.34-2.60, 2 Na 2.48

Compound: Na4Zr2C
Source: the Alexandria database
Functional: PBE
Structure: optimized geometry

Values from the calculation:
- Calculated density: 2.31 g cm⁻³

Unit cell a=4.3057 b=4.3057 c=22.1665 alpha=90.00 beta=90.00 gamma=90.00
Closest atoms and distances in Å follow each position.
Space group I4/mmm (No. 139)
Symmetry-distinct sites (fractional):
Na (0.0000, 0.0000, 0.1183)  1 C 2.62
Na (0.0000, 0.5000, 0.0000)  2 C 2.15
Zr (0.0000, 0.0000, 0.2667)  4 Zr 3.13, 1 Na 3.29
C (0.0000, 0.0000, 0.0000)  4 Na 2.15

Number 1: E_form 0.75 eV per atom, N(E_F) 2.4 states/eV/f.u., magnetic moment 0.00 μB per formula unit. Number 2: E_form 4.33 eV per atom, N(E_F) 6.9 states/eV/f.u., magnetic moment 0.00 μB per formula unit. Number 3: E_form 1.18 eV per atom, N(E_F) 1.0 states/eV/f.u., magnetic moment 2.13 μB per formula unit. Number 4: E_form 3.82 eV per atom, N(E_F) 4.2 states/eV/f.u., magnetic moment 0.00 μB per formula unit. Number 5: E_form 1.42 eV per atom, N(E_F) 2.8 states/eV/f.u., magnetic moment 0.00 μB per formula unit. Number 6: E_form 1.76 eV per atom, N(E_F) 3.1 states/eV/f.u., magnetic moment 0.32 μB per formula unit. Number 7: E_form 0.82 eV per atom, N(E_F) 4.0 states/eV/f.u., magnetic moment 0.00 μB per formula unit. Number 8: E_form 1.42 eV per atom, N(E_F) 0.5 states/eV/f.u., magnetic moment 0.00 μB per formula unit. Number 9: E_form 2.34 eV per atom, N(E_F) 4.0 states/eV/f.u., magnetic moment 0.00 μB per formula unit. Number 10: E_form 0.69 eV per atom, N(E_F) 2.0 states/eV/f.u., magnetic moment 0.00 μB per formula unit. Number 11: E_form 2.39 eV per atom, N(E_F) 14.5 states/eV/f.u., magnetic moment 0.00 μB per formula unit. Number 12: E_form 2.49 eV per atom, N(E_F) 5.1 states/eV/f.u., magnetic moment 0.00 μB per formula unit. Number 13: E_form 1.11 eV per atom, N(E_F) 5.8 states/eV/f.u., magnetic moment 0.00 μB per formula unit. Number 14: E_form 0.68 eV per atom, N(E_F) 2.1 states/eV/f.u., magnetic moment 0.00 μB per formula unit. Number 15: E_form 1.92 eV per atom, N(E_F) 6.4 states/eV/f.u., magnetic moment 2.80 μB per formula unit. Number 16: E_form 0.83 eV per atom, N(E_F) 1.9 states/eV/f.u., magnetic moment 1.00 μB per formula unit. Number 17: E_form 0.19 eV per atom, N(E_F) 2.3 states/eV/f.u., magnetic moment 0.00 μB per formula unit. Number 18: E_form 1.10 eV per atom, N(E_F) 7.4 states/eV/f.u., magnetic moment 3.69 μB per formula unit. Number 19: E_form 0.20 eV per atom, N(E_F) 2.5 states/eV/f.u., magnetic moment 0.00 μB per formula unit. Number 20: E_form 1.10 eV per atom, N(E_F) 6.0 states/eV/f.u., magnetic moment 1.32 μB per formula unit.